# 1
The following is a DFT calculation (GGA-PBEsol) of a relaxed structure of Re2SiSb.

Lattice parameters (Å, degrees): 3.100 4.124 5.020 90.00 90.00 90.00
Space group Pmmm (No. 47)
Unique sites:
Re: 0.000 0.000 0.000
Re: 0.500 0.000 0.500
Si: 0.000 0.500 0.500
Sb: 0.500 0.500 0.000

Summary:
* E: -8.56 eV/atom
* energy relative to the elements, uncorrected: 66 kJ per mole of atoms
* DOS(E_F): 2.99 states/eV per cell
* energy above the most stable polymorph in this dataset: 514 meV/atom

***

# 2
The following is a DFT calculation (GGA-PBEsol) of a relaxed structure of Re2SnSb.

Lattice parameters (Å, degrees): 6.475 6.475 6.475 90.00 90.00 90.00
Space group Fm-3m (No. 225)
Unique sites:
Re: 0.250 0.250 0.250
Sn: 0.000 0.000 0.000
Sb: 0.000 0.000 0.500

Summary:
* E: -8.32 eV/atom
* energy relative to the elements, uncorrected: 53 kJ per mole of atoms
* DOS(E_F): 10.74 states/eV per cell

***

# 3
The following is a DFT calculation (GGA-PBEsol) of a relaxed structure of ReTc2SnSb.

Lattice parameters (Å, degrees): 4.742 4.742 4.980 90.00 90.00 90.00
Space group P4/mmm (No. 123)
Unique sites:
Re: 0.000 0.000 0.000
Tc: 0.000 0.500 0.000
Sn: 0.500 0.500 0.500
Sb: 0.000 0.000 0.500

Summary:
* E: -7.50 eV/atom
* energy relative to the elements, uncorrected: 138 kJ per mole of atoms
* DOS(E_F): 6.21 states/eV per cell

***

# 4
The following is a DFT calculation (GGA-PBEsol) of a relaxed structure of ReSnSbTe2.

Lattice parameters (Å, degrees): 5.508 5.508 5.565 90.00 90.00 90.00
Space group P4/mmm (No. 123)
Unique sites:
Re: 0.000 0.000 0.000
Sn: 0.500 0.500 0.500
Sb: 0.500 0.500 0.000
Te: 0.000 0.500 0.500

Summary:
* E: -4.03 eV/atom
* energy relative to the elements, uncorrected: 175 kJ per mole of atoms
* DOS(E_F): 4.42 states/eV per cell

***

# 5
The following is a DFT calculation (GGA-PBEsol) of a relaxed structure of Sr2ReSb.

Lattice parameters (Å, degrees): 6.729 9.536 3.085 90.00 90.00 90.00
Space group Cmmm (No. 65)
Unique sites:
Sr: 0.250 0.250 0.000
Re: 0.000 0.000 0.500
Sb: 0.000 0.500 0.500

Summary:
* E: -4.92 eV/atom
* energy relative to the elements, uncorrected: 46 kJ per mole of atoms
* DOS(E_F): 5.80 states/eV per cell

***

# 6
The following is a DFT calculation (GGA-PBEsol) of a relaxed structure of SrReSb2.

Lattice parameters (Å, degrees): 3.426 4.494 6.284 90.00 92.34 90.00
Space group P2/m (No. 10)
Unique sites:
Sr: 0.000 0.000 0.000
Re: 0.500 0.000 0.500
Sb: 0.461 0.500 0.729

Summary:
* E: -5.88 eV/atom
* energy relative to the elements, uncorrected: 19 kJ per mole of atoms
* DOS(E_F): 3.42 states/eV per cell
* energy above the most stable polymorph in this dataset: 0 meV/atom

***

# 7
The following is a DFT calculation (GGA-PBEsol) of a relaxed structure of SrRe3Sb.

Lattice parameters (Å, degrees): 4.903 4.903 4.903 90.00 90.00 90.00
Space group Pm-3m (No. 221)
Unique sites:
Sr: 0.000 0.000 0.000
Re: 0.000 0.500 0.500
Sb: 0.500 0.500 0.500

Summary:
* E: -7.15 eV/atom
* energy relative to the elements, uncorrected: 205 kJ per mole of atoms
* DOS(E_F): 8.20 states/eV per cell

***

# 8
The following is a DFT calculation (GGA-PBEsol) of a relaxed structure of SrReSb2.

Lattice parameters (Å, degrees): 4.711 4.711 4.051 90.00 90.00 90.00
Space group P4/mmm (No. 123)
Unique sites:
Sr: 0.000 0.000 0.000
Re: 0.500 0.500 0.000
Sb: 0.000 0.500 0.500

Summary:
* E: -5.58 eV/atom
* energy relative to the elements, uncorrected: 48 kJ per mole of atoms
* DOS(E_F): 4.60 states/eV per cell
* energy above the most stable polymorph in this dataset: 297 meV/atom

***

# 9
The following is a DFT calculation (GGA-PBEsol) of a relaxed structure of TaRe2Sb.

Lattice parameters (Å, degrees): 3.275 4.364 9.147 90.00 90.00 90.00
Space group Imm2 (No. 44)
Unique sites:
Ta: 0.000 0.000 0.000
Re: 0.000 0.000 0.501
Re: 0.000 0.500 0.750
Sb: 0.000 0.500 0.245

Summary:
* E: -10.70 eV/atom
* energy relative to the elements, uncorrected: 23 kJ per mole of atoms
* DOS(E_F): 4.21 states/eV per cell

***

# 10
The following is a DFT calculation (GGA-PBEsol) of a relaxed structure of TaRe2Sb.

Lattice parameters (Å, degrees): 2.906 4.575 5.075 90.00 91.43 90.00
Space group P2/m (No. 10)
Unique sites:
Ta: 0.000 0.000 0.000
Re: 0.318 0.500 0.766
Sb: 0.500 0.000 0.500

Summary:
* E: -10.55 eV/atom
* energy relative to the elements, uncorrected: 38 kJ per mole of atoms
* DOS(E_F): 2.83 states/eV per cell

***

# 11
The following is a DFT calculation (GGA-PBEsol) of a relaxed structure of ReTcSb.

Lattice parameters (Å, degrees): 6.077 6.077 6.077 90.00 90.00 90.00
Space group F-43m (No. 216)
Unique sites:
Re: 0.000 0.000 0.000
Tc: 0.000 0.000 0.500
Sb: 0.250 0.250 0.250

Summary:
* E: -8.61 eV/atom
* energy relative to the elements, uncorrected: 107 kJ per mole of atoms
* DOS(E_F): 20.45 states/eV per cell
* energy above the most stable polymorph in this dataset: 611 meV/atom

***

# 12
The following is a DFT calculation (GGA-PBEsol) of a relaxed structure of ReTcSb.

Lattice parameters (Å, degrees): 4.3945 4.3945 2.9080 90.00 90.00 120.00
Space group P3m1 (No. 156)
Unique sites:
Re: 0.0000 0.0000 0.0000
Tc: 0.3333 0.6667 0.5308
Sb: 0.6667 0.3333 0.2682

Summary:
* E: -9.22 eV/atom
* energy relative to the elements, uncorrected: 48 kJ per mole of atoms
* DOS(E_F): 2.20 states/eV per cell
* energy above the most stable polymorph in this dataset: 0 meV/atom